Compound: LiDyZn2Ga4
Source: Alexandria via LeMat-Bulk
Functional: GGA-PBE
Structure: optimized geometry

Properties
For the total energy, the calculation gives -2.91 eV per atom. The formation energy is -0.259 eV/atom.

a = 4.4128 Å, b = 4.4128 Å, c = 25.3346 Å
α = 90.00°, β = 90.00°, γ = 120.00°
Space group R-3m (No. 166, hexagonal axes)
Asymmetric unit:
Li (0.0000, 0.0000, 0.0000)
Dy (0.0000, 0.0000, 0.5000)
Zn (0.0000, 0.0000, 0.2546)
Ga (0.0000, 0.0000, 0.1059)
Ga (0.0000, 0.0000, 0.3702)